1.
First-principles (GGA-PBE) data for a geometry-optimized FeHgSb4 structure, as listed in Alexandria via LeMat-Bulk.

Cell and atoms, written as CIF:
```
data_FeHgSb4
_chemical_formula_sum 'Fe4 Hg4 Sb16'
_symmetry_space_group_name_H-M 'F -4 3 m'
_symmetry_Int_Tables_number 216
_symmetry_space_group_name_Hall 'F -4 2 3'
_cell_length_a 8.7727
_cell_length_b 8.7727
_cell_length_c 8.7727
_cell_angle_alpha 90.00
_cell_angle_beta 90.00
_cell_angle_gamma 90.00
loop_
_atom_site_label
_atom_site_fract_x
_atom_site_fract_y
_atom_site_fract_z
Fe1 0.0000 0.0000 0.0000
Hg1 0.2500 0.2500 0.7500
Sb1 0.1242 0.1242 0.3758
```

Results
* total magnetization: 16.17 μB per cell
* formation energy (no corrections): 4.1 eV/f.u.


2.
First-principles (GGA-PBE) data for a geometry-optimized FeHgSb structure, as listed in Alexandria via LeMat-Bulk.

Cell and atoms, written as CIF:
```
data_FeHgSb
_chemical_formula_sum 'Fe1 Hg1 Sb1'
_symmetry_space_group_name_H-M 'P 3 m 1'
_symmetry_Int_Tables_number 156
_symmetry_space_group_name_Hall 'P 3 -2"'
_cell_length_a 4.2730
_cell_length_b 4.2730
_cell_length_c 4.2567
_cell_angle_alpha 90.00
_cell_angle_beta 90.00
_cell_angle_gamma 120.00
loop_
_atom_site_label
_atom_site_fract_x
_atom_site_fract_y
_atom_site_fract_z
Fe1 0.0000 0.0000 0.0000
Hg1 0.6667 0.3333 0.3466
Sb1 0.3333 0.6667 0.8125
```

Results
* total magnetization: 2.57 μB per cell
* E above lowest polymorph: 170 meV/atom
* formation energy (no corrections): 1.5 eV/f.u.


3.
First-principles (GGA-PBE) data for a geometry-optimized Fe3HgSb structure, as listed in Alexandria via LeMat-Bulk.

Cell and atoms, written as CIF:
```
data_Fe3HgSb
_chemical_formula_sum 'Fe3 Hg1 Sb1'
_symmetry_space_group_name_H-M 'P m -3 m'
_symmetry_Int_Tables_number 221
_symmetry_space_group_name_Hall '-P 4 2 3'
_cell_length_a 4.8625
_cell_length_b 4.8625
_cell_length_c 4.8625
_cell_angle_alpha 90.00
_cell_angle_beta 90.00
_cell_angle_gamma 90.00
loop_
_atom_site_label
_atom_site_fract_x
_atom_site_fract_y
_atom_site_fract_z
Fe1 0.0000 0.0000 0.5000
Hg1 0.5000 0.5000 0.5000
Sb1 0.0000 0.0000 0.0000
```

Results
* total magnetization: 9.01 μB per cell
* E above lowest polymorph: 0 meV/atom
* formation energy (no corrections): 5.8 eV/f.u.


4.
First-principles (GGA-PBE) data for a geometry-optimized FeHg3Sb structure, as listed in Alexandria via LeMat-Bulk.

Cell and atoms, written as CIF:
```
data_FeHg3Sb
_chemical_formula_sum 'Fe1 Hg3 Sb1'
_symmetry_space_group_name_H-M 'P m -3 m'
_symmetry_Int_Tables_number 221
_symmetry_space_group_name_Hall '-P 4 2 3'
_cell_length_a 5.0864
_cell_length_b 5.0864
_cell_length_c 5.0864
_cell_angle_alpha 90.00
_cell_angle_beta 90.00
_cell_angle_gamma 90.00
loop_
_atom_site_label
_atom_site_fract_x
_atom_site_fract_y
_atom_site_fract_z
Fe1 0.0000 0.0000 0.0000
Hg1 0.0000 0.0000 0.5000
Sb1 0.5000 0.5000 0.5000
```

Results
* total magnetization: 2.82 μB per cell
* E above lowest polymorph: 0 meV/atom
* formation energy (no corrections): 2.9 eV/f.u.


5.
First-principles (GGA-PBE) data for a geometry-optimized FeHgSb structure, as listed in Alexandria via LeMat-Bulk.

Cell and atoms, written as CIF:
```
data_FeHgSb
_chemical_formula_sum 'Fe1 Hg1 Sb1'
_symmetry_space_group_name_H-M 'P 3 m 1'
_symmetry_Int_Tables_number 156
_symmetry_space_group_name_Hall 'P 3 -2"'
_cell_length_a 3.3148
_cell_length_b 3.3148
_cell_length_c 6.6251
_cell_angle_alpha 90.00
_cell_angle_beta 90.00
_cell_angle_gamma 120.00
loop_
_atom_site_label
_atom_site_fract_x
_atom_site_fract_y
_atom_site_fract_z
Fe1 0.0000 0.0000 0.0000
Hg1 0.6667 0.3333 0.3056
Sb1 0.3333 0.6667 0.7351
```

Results
* total magnetization: 1.91 μB per cell
* E above lowest polymorph: 22 meV/atom
* formation energy (no corrections): 1.0 eV/f.u.


6.
First-principles (GGA-PBE) data for a geometry-optimized FeHgSb structure, as listed in Alexandria via LeMat-Bulk.

Cell and atoms, written as CIF:
```
data_FeHgSb
_chemical_formula_sum 'Fe4 Hg4 Sb4'
_symmetry_space_group_name_H-M 'F -4 3 m'
_symmetry_Int_Tables_number 216
_symmetry_space_group_name_Hall 'F -4 2 3'
_cell_length_a 6.3745
_cell_length_b 6.3745
_cell_length_c 6.3745
_cell_angle_alpha 90.00
_cell_angle_beta 90.00
_cell_angle_gamma 90.00
loop_
_atom_site_label
_atom_site_fract_x
_atom_site_fract_y
_atom_site_fract_z
Fe1 0.0000 0.0000 0.0000
Hg1 0.2500 0.2500 0.7500
Sb1 0.2500 0.2500 0.2500
```

Results
* total magnetization: 9.87 μB per cell
* E above lowest polymorph: 0 meV/atom
* formation energy (no corrections): 1.0 eV/f.u.


7.
First-principles (GGA-PBE) data for a geometry-optimized FeHgSbTe2 structure, as listed in Alexandria via LeMat-Bulk.

Cell and atoms, written as CIF:
```
data_FeHgSbTe2
_chemical_formula_sum 'Fe1 Hg1 Sb1 Te2'
_symmetry_space_group_name_H-M 'P 4/m m m'
_symmetry_Int_Tables_number 123
_symmetry_space_group_name_Hall '-P 4 2'
_cell_length_a 5.2300
_cell_length_b 5.2300
_cell_length_c 4.8109
_cell_angle_alpha 90.00
_cell_angle_beta 90.00
_cell_angle_gamma 90.00
loop_
_atom_site_label
_atom_site_fract_x
_atom_site_fract_y
_atom_site_fract_z
Fe1 0.0000 0.0000 0.0000
Hg1 0.5000 0.5000 0.5000
Sb1 0.0000 0.0000 0.5000
Te1 0.0000 0.5000 0.0000
```

Results
* total magnetization: 2.36 μB per cell
* E above lowest polymorph: 0 meV/atom
* formation energy (no corrections): 1.9 eV/f.u.


8.
First-principles (GGA-PBE) data for a geometry-optimized ZnFeHgSb2 structure, as listed in Alexandria via LeMat-Bulk.

Cell and atoms, written as CIF:
```
data_ZnFeHgSb2
_chemical_formula_sum 'Zn1 Fe1 Hg1 Sb2'
_symmetry_space_group_name_H-M 'P 4/m m m'
_symmetry_Int_Tables_number 123
_symmetry_space_group_name_Hall '-P 4 2'
_cell_length_a 5.2625
_cell_length_b 5.2625
_cell_length_c 4.9808
_cell_angle_alpha 90.00
_cell_angle_beta 90.00
_cell_angle_gamma 90.00
loop_
_atom_site_label
_atom_site_fract_x
_atom_site_fract_y
_atom_site_fract_z
Zn1 0.0000 0.0000 0.0000
Fe1 0.5000 0.5000 0.5000
Hg1 0.0000 0.0000 0.5000
Sb1 0.0000 0.5000 0.0000
```

Results
* total magnetization: 3.45 μB per cell
* formation energy (no corrections): 4.6 eV/f.u.


Number 1: Fermi-level density of states 35.3 states/eV per cell. Number 2: Fermi-level density of states 5.5 states/eV per cell. Number 3: Fermi-level density of states 10.3 states/eV per cell. Number 4: Fermi-level density of states 3.8 states/eV per cell. Number 5: Fermi-level density of states 2.9 states/eV per cell. Number 6: Fermi-level density of states 18.3 states/eV per cell. Number 7: Fermi-level density of states 5.7 states/eV per cell. Number 8: Fermi-level density of states 8.1 states/eV per cell.